LuZrNi PBE relaxed; symmetry = I4mm (107); DFT total energy = -19.48 eV per cell; calculated volume = 60 Å³ per cell; total moment = 0.1 Bohr magnetons per cell; N(E_F) = 4.3 states/eV/cell; ΔE_f = -0.211 eV/atom
1.0
-1.6529 1.6529 5.5252
1.6529 -1.6529 5.5252
1.6529 1.6529 -5.5252
Lu Zr Ni
1 1 1
Cartesian
0.0000 0.0000 0.0000 Lu
0.0000 0.0000 3.2092 Zr
0.0000 0.0000 7.2747 Ni



Tb2Pm7Ho3 PBE relaxed; symmetry = P2/m (10); DFT total energy = -52.78 eV per cell; calculated volume = 424 Å³ per cell; total moment = 0.0 Bohr magnetons per cell; energy relative to the lowest polymorph listed for this composition = 2.123 eV per formula unit; N(E_F) = 18.6 states/eV/cell; ΔE_f = 0.289 eV/atom
1.0
6.2412 0.0000 0.0000
0.0000 5.5142 0.0000
-0.1254 0.0000 12.3174
Tb Pm Ho
2 7 3
Cartesian
0.6550 0.0000 3.4250 Tb
5.4608 0.0000 8.8924 Tb
0.2530 2.7571 10.0713 Pm
1.5407 0.0000 6.7231 Pm
2.4730 0.0000 10.2151 Pm
3.1206 2.7571 0.0000 Pm
3.6428 0.0000 2.1023 Pm
4.5751 0.0000 5.5942 Pm
5.8627 2.7571 2.2461 Pm
0.0000 0.0000 0.0000 Ho
2.6812 2.7571 4.2204 Ho
3.4346 2.7571 8.0970 Ho



NpCoNiSb PBE relaxed; symmetry = F-43m (216); DFT total energy = -30.30 eV per cell; calculated volume = 68 Å³ per cell; energy relative to the elements, uncorrected = -88 meV per atom; total moment = 2.4 Bohr magnetons per cell; N(E_F) = 7.6 states/eV/cell
1.0
0.0000 3.2326 3.2326
3.2326 0.0000 3.2326
3.2326 3.2326 0.0000
Np Co Ni Sb
1 1 1 1
Cartesian
0.0000 0.0000 0.0000 Np
1.6163 1.6163 1.6163 Co
4.8488 4.8488 4.8488 Ni
3.2326 3.2326 3.2326 Sb



YScAu2 PBE relaxed; symmetry = P4/mmm (123); DFT total energy = -22.66 eV per cell; calculated volume = 86 Å³ per cell; total moment = 0.0 Bohr magnetons per cell; energy relative to the lowest polymorph listed for this composition = 0.000 eV per formula unit; N(E_F) = 2.1 states/eV/cell; ΔE_f = -0.828 eV/atom
1.0
3.4823 0.0000 0.0000
0.0000 3.4823 0.0000
0.0000 0.0000 7.0957
Y Sc Au
1 1 2
Cartesian
0.0000 0.0000 0.0000 Y
0.0000 0.0000 3.5478 Sc
1.7411 1.7411 1.9498 Au
1.7411 1.7411 5.1459 Au



MnPb5Cl12 PBE relaxed; symmetry = C2/m (12); DFT total energy = -69.98 eV per cell; calculated volume = 608 Å³ per cell; energy relative to the elements, uncorrected = -1117 meV per atom; total moment = 5.0 Bohr magnetons per cell; N(E_F) = 0.0 states/eV/cell
1.0
3.6796 -6.4060 0.0000
3.6796 6.4060 0.0000
-0.0069 0.0000 12.8946
Mn Pb Cl
1 5 12
Cartesian
0.0000 0.0000 0.0000 Mn
3.6761 4.2729 6.4473 Pb
3.6796 2.1376 0.0000 Pb
3.6761 0.0000 6.4473 Pb
3.6796 -2.1376 0.0000 Pb
3.6761 -4.2729 6.4473 Pb
4.7664 -4.5063 1.3874 Cl
2.5858 4.5063 11.5072 Cl
1.2198 0.0000 4.8824 Cl
2.4574 2.1372 8.0246 Cl
4.7664 4.5063 1.3874 Cl
2.1723 0.0000 11.5128 Cl
4.8948 2.1372 4.8700 Cl
2.4574 -2.1372 8.0246 Cl
2.5858 -4.5063 11.5072 Cl
5.1799 0.0000 1.3817 Cl
4.8948 -2.1372 4.8700 Cl
6.1325 0.0000 8.0122 Cl



SiAg2Pb PBE relaxed; symmetry = I4/mmm (139); DFT total energy = -13.48 eV per cell; calculated volume = 83 Å³ per cell; energy relative to the elements, uncorrected = 339 meV per atom; total moment = 0.0 Bohr magnetons per cell; energy relative to the lowest polymorph listed for this composition = 0.289 eV per formula unit; N(E_F) = 1.8 states/eV/cell
1.0
-2.2006 2.2006 4.2790
2.2006 -2.2006 4.2790
2.2006 2.2006 -4.2790
Si Ag Pb
1 2 1
Cartesian
0.0000 0.0000 0.0000 Si
2.2006 0.0000 2.1395 Ag
0.0000 2.2006 2.1395 Ag
0.0000 0.0000 4.2790 Pb